[1]
{
  "formula": "Cd2CoRu",
  "functional": "meta-GGA SCAN",
  "state": "PBEsol geometry",
  "polymorph_energy_ev_per_fu": 0.15,
  "e_form_kcal_per_mol_atoms": 8.24,
  "cell": [[3.899, 0.000, 0.000], [0.000, 3.899, 0.000], [0.000, 0.000, 4.061]],
  "species": ["Cd", "Cd", "Co", "Ru"],
  "fractional_positions": [[0.000, 0.500, 0.000], [0.500, 0.000, 0.000], [0.000, 0.000, 0.500], [0.500, 0.500, 0.500]]
}

[2]
{
  "formula": "BaPt",
  "functional": "meta-GGA SCAN",
  "state": "PBEsol geometry",
  "e_form_kcal_per_mol_atoms": -16.84,
  "cell": [[0.000, 3.165, 3.165], [3.165, 0.000, 3.165], [3.165, 3.165, 0.000]],
  "species": ["Ba", "Pt"],
  "fractional_positions": [[0.000, 0.000, 0.000], [0.500, 0.500, 0.500]]
}

[3]
{
  "formula": "CdAgAu2",
  "functional": "meta-GGA SCAN",
  "state": "PBEsol geometry",
  "e_form_kcal_per_mol_atoms": -1.27,
  "cell": [[1.468, 0.848, 9.330], [-1.468, 0.848, 9.330], [0.000, -1.696, 9.330]],
  "species": ["Cd", "Ag", "Au", "Au"],
  "fractional_positions": [[0.000, 0.000, 0.000], [0.751, 0.751, 0.751], [0.249, 0.249, 0.249], [0.499, 0.499, 0.499]]
}

[4]
{
  "formula": "LaY",
  "functional": "meta-GGA SCAN",
  "state": "PBEsol geometry",
  "polymorph_energy_ev_per_fu": 0.00,
  "e_form_kcal_per_mol_atoms": 0.33,
  "cell": [[1.795, 1.037, 5.732], [-1.795, 1.037, 5.732], [0.000, -2.073, 5.732]],
  "species": ["La", "Y"],
  "fractional_positions": [[0.000, 0.000, 0.000], [0.500, 0.500, 0.500]]
}

[5]
{
  "formula": "BaPb8",
  "functional": "meta-GGA SCAN",
  "state": "PBEsol geometry",
  "e_form_kcal_per_mol_atoms": -4.12,
  "cell": [[-5.347, 5.347, 2.464], [5.347, -5.347, 2.464], [5.347, 5.347, -2.464]],
  "species": ["Ba", "Pb", "Pb", "Pb", "Pb", "Pb", "Pb", "Pb", "Pb"],
  "fractional_positions": [[0.000, 0.000, 0.000], [0.000, 0.343, 0.343], [0.000, 0.657, 0.657], [0.320, 0.320, 0.639], [0.320, 0.680, 0.000], [0.343, 0.000, 0.343], [0.657, 0.000, 0.657], [0.680, 0.320, 0.000], [0.680, 0.680, 0.361]]
}

[6]
{
  "formula": "Y3ZnC",
  "functional": "meta-GGA SCAN",
  "state": "PBEsol geometry",
  "polymorph_energy_ev_per_fu": 0.00,
  "e_form_kcal_per_mol_atoms": -8.38,
  "cell": [[4.824, 0.000, 0.000], [0.000, 4.824, 0.000], [0.000, 0.000, 4.824]],
  "species": ["Y", "Y", "Y", "Zn", "C"],
  "fractional_positions": [[0.000, 0.000, 0.500], [0.000, 0.500, 0.000], [0.500, 0.000, 0.000], [0.500, 0.500, 0.500], [0.000, 0.000, 0.000]]
}